# 1
Below is a relaxed LaCePt crystal, with properties calculated at the GGA-PBE level.

Lattice parameters (Å, degrees): 4.045 4.659 4.659 120.00 90.00 90.00
Sites, in units of the cell vectors:
Ce: 0.309 0.333 0.667
La: 0.670 0.667 0.333
Pt: 0.021 0.000 0.000

Results
Relative energy among the computed polymorphs, eV per atom: 0.125
Calculated volume, Å³ per atom: 25.35
Magnetization, μB per atom: 0.000
Formation energy from the elements, kJ/mol of atoms: -61

---

# 2
Below is a relaxed LaCe2Pt2 crystal, with properties calculated at the GGA-PBE level.

Lattice parameters (Å, degrees): 4.089 7.728 8.850 84.09 76.57 74.67
Sites, in units of the cell vectors:
Ce: 0.981 0.358 0.680
Ce: 0.019 0.642 0.320
La: 0.693 0.941 0.673
La: 0.307 0.059 0.327
Ce: 0.224 0.636 0.913
Pt: 0.558 0.820 0.062
Pt: 0.377 0.668 0.578
Ce: 0.776 0.364 0.087
Pt: 0.623 0.332 0.422
Pt: 0.442 0.180 0.938

Results
Relative energy among the computed polymorphs, eV per atom: 0.000
Calculated volume, Å³ per atom: 26.21
Magnetization, μB per atom: 0.275
Formation energy from the elements, kJ/mol of atoms: -74

---

# 3
Below is a relaxed LaCePt crystal, with properties calculated at the GGA-PBE level.

Lattice parameters (Å, degrees): 4.481 4.136 8.624 92.37 90.00 90.01
Sites, in units of the cell vectors:
La: 0.814 0.877 0.560
Pt: 0.814 0.879 0.201
Ce: 0.314 0.817 0.895
Pt: 0.314 0.354 0.638
Ce: 0.814 0.416 0.945
La: 0.314 0.356 0.279

Results
Relative energy among the computed polymorphs, eV per atom: 0.000
Calculated volume, Å³ per atom: 26.61
Magnetization, μB per atom: 0.000
Formation energy from the elements, kJ/mol of atoms: -73

---

# 4
Below is a relaxed La2Ce2Pt15 crystal, with properties calculated at the GGA-PBE level.

Lattice parameters (Å, degrees): 7.153 7.153 7.153 82.37 82.37 82.37
Sites, in units of the cell vectors:
La: 0.643 0.643 0.643
Pt: 0.000 0.000 0.500
La: 0.357 0.357 0.357
Ce: 0.900 0.900 0.900
Pt: 0.683 0.317 0.000
Pt: 0.683 0.000 0.317
Pt: 0.317 0.000 0.683
Pt: 0.000 0.317 0.683
Pt: 0.317 0.683 0.000
Pt: 0.000 0.500 0.000
Pt: 0.000 0.683 0.317
Pt: 0.656 0.656 0.162
Ce: 0.100 0.100 0.100
Pt: 0.838 0.344 0.344
Pt: 0.162 0.656 0.656
Pt: 0.344 0.344 0.838
Pt: 0.500 0.000 0.000
Pt: 0.656 0.162 0.656
Pt: 0.344 0.838 0.344

Results
Calculated volume, Å³ per atom: 18.79
Magnetization, μB per atom: 0.039
Formation energy from the elements, kJ/mol of atoms: -72